First-principles (PBE) data for an optimized crystal structure of SrIn2Fe, as listed in OQMD via LeMat-Bulk.

Unit cell a=5.0843 b=5.0843 c=5.0843 alpha=60.00 beta=60.00 gamma=60.00
Last column: magnetic moment on the atom in μB.
Atoms (fractional coordinates):
1 Fe 0.2500 0.2500 0.2500  2.73
2 In 0.0000 0.0000 0.0000  -0.02
3 In 0.7500 0.7500 0.7500  -0.02
4 Sr 0.5000 0.5000 0.5000  -0.02

Computed properties:
* theoretical density: 6.67 g/cm3
* raw total energy: -3.573 eV per atom
* space-group type: F-43m (216)
* total magnetic moment: 2.700 μB per formula unit